The following is a DFT calculation (GGA-PBE) of AlH3O3 after structural relaxation.

N(E_F) ... 0.00 states/eV/cell
E ... -326.99 eV/cell

Lattice parameters (Å, degrees): 5.0954 8.7953 9.6702 90.00 90.00 89.60
Sites, in units of the cell vectors:
O 0.3108 0.9915 0.8916
O 0.7724 0.5001 0.6072
O 0.3927 0.6780 0.8954
O 0.3252 0.9951 0.6024
O 0.6892 0.0085 0.3916
O 0.6073 0.3220 0.3954
O 0.1229 0.8138 0.3894
O 0.7357 0.3783 0.1128
O 0.8554 0.5014 0.8935
O 0.1446 0.4986 0.3935
O 0.8192 0.8635 0.8895
O 0.6474 0.6913 0.1134
O 0.3643 0.3577 0.8984
O 0.1698 0.8545 0.1009
O 0.8771 0.1862 0.8894
O 0.8302 0.1455 0.6009
O 0.1579 0.1750 0.1004
O 0.3526 0.3087 0.6134
O 0.1808 0.1365 0.3895
O 0.8421 0.8250 0.6004
O 0.2643 0.6217 0.6128
O 0.2276 0.4999 0.1072
O 0.6748 0.0049 0.1024
O 0.6357 0.6423 0.3984
H 0.1655 0.8557 0.2031
H 0.1720 0.5013 0.2923
H 0.4159 0.6859 0.7955
H 0.6247 0.6591 0.2973
H 0.3753 0.3409 0.7973
H 0.8325 0.7203 0.1190
H 0.8432 0.8354 0.7019
H 0.1675 0.2797 0.6190
H 0.5841 0.3141 0.2955
H 0.2027 0.5715 0.6964
H 0.6873 0.0028 0.2895
H 0.7973 0.4285 0.1964
H 0.3134 0.7960 0.3953
H 0.4353 0.9029 0.6000
H 0.8280 0.4987 0.7923
H 0.8489 0.3988 0.5936
H 0.5647 0.0971 0.1000
H 0.6866 0.2040 0.8953
H 0.8345 0.1443 0.7031
H 0.3127 0.9972 0.7895
H 0.9174 0.7673 0.8930
H 0.0826 0.2327 0.3930
H 0.1568 0.1646 0.2019
H 0.1511 0.6012 0.0936
Al 0.0014 0.0160 0.9965
Al 0.5031 0.1502 0.4974
Al 0.5432 0.5145 0.9966
Al 0.9986 0.9840 0.4965
Al 0.4568 0.4855 0.4966
Al 0.0442 0.3468 0.9961
Al 0.9558 0.6532 0.4961
Al 0.4969 0.8498 0.9974